Below is a relaxed structure of Tc3SnC, with properties calculated at the PBEsol level.

Computed properties:
**D(E_F)**: 1.527 states/eV/atom
**Uncorrected energy**: -29.1 eV/f.u.
**Formation energy from the elements**: 3.72 eV per atom

a = 4.823 Å, b = 4.823 Å, c = 4.823 Å
α = 90.00°, β = 90.00°, γ = 90.00°
Space group Pm-3m (No. 221)
Symmetry-distinct sites (fractional):
1 Tc 0.000 0.000 0.500 [3 per cell]
2 Sn 0.000 0.000 0.000 [1 per cell]
3 C 0.500 0.500 0.500 [1 per cell]

---

Below is a relaxed structure of Ti2SnC, with properties calculated at the PBEsol level.

Computed properties:
**D(E_F)**: 1.596 states/eV/atom
**Uncorrected energy**: -27.5 eV/f.u.
**Offset from the most stable computed form**: 1567 meV per atom
**Formation energy from the elements**: 0.77 eV per atom

a = 6.199 Å, b = 6.199 Å, c = 6.199 Å
α = 90.00°, β = 90.00°, γ = 90.00°
Space group Fm-3m (No. 225)
Symmetry-distinct sites (fractional):
1 Ti 0.250 0.250 0.250 [8 per cell]
2 Sn 0.000 0.000 0.000 [4 per cell]
3 C 0.000 0.000 0.500 [4 per cell]

---

Below is a relaxed structure of Ti2SnC, with properties calculated at the PBEsol level.

Computed properties:
**D(E_F)**: 0.357 states/eV/atom
**Uncorrected energy**: -33.8 eV/f.u.
**Offset from the most stable computed form**: 0 meV per atom
**Formation energy from the elements**: -0.80 eV per atom

a = 3.1408 Å, b = 3.1408 Å, c = 13.6257 Å
α = 90.00°, β = 90.00°, γ = 120.00°
Space group P6_3/mmc (No. 194)
Symmetry-distinct sites (fractional):
1 Ti 0.3333 0.6667 0.0813 [4 per cell]
2 Sn 0.3333 0.6667 0.7500 [2 per cell]
3 C 0.0000 0.0000 0.0000 [2 per cell]

---

Below is a relaxed structure of Ti3SnC2, with properties calculated at the PBEsol level.

Computed properties:
**D(E_F)**: 0.347 states/eV/atom
**Uncorrected energy**: -53.7 eV/f.u.
**Formation energy from the elements**: -0.86 eV per atom

a = 3.1158 Å, b = 3.1158 Å, c = 18.5326 Å
α = 90.00°, β = 90.00°, γ = 120.00°
Space group P6_3/mmc (No. 194)
Symmetry-distinct sites (fractional):
1 Ti 0.0000 0.0000 0.0000 [2 per cell]
2 Ti 0.3333 0.6667 0.1248 [4 per cell]
3 Sn 0.0000 0.0000 0.2500 [2 per cell]
4 C 0.3333 0.6667 0.5682 [4 per cell]

---

Below is a relaxed structure of YSn3C, with properties calculated at the PBEsol level.

Computed properties:
**D(E_F)**: 0.684 states/eV/atom
**Uncorrected energy**: -26.8 eV/f.u.
**Formation energy from the elements**: 0.48 eV per atom

a = 4.779 Å, b = 4.779 Å, c = 4.779 Å
α = 90.00°, β = 90.00°, γ = 90.00°
Space group Pm-3m (No. 221)
Symmetry-distinct sites (fractional):
1 Y 0.000 0.000 0.000 [1 per cell]
2 Sn 0.000 0.500 0.500 [3 per cell]
3 C 0.500 0.500 0.500 [1 per cell]

---

Below is a relaxed structure of ZnSnC3, with properties calculated at the PBEsol level.

Computed properties:
**D(E_F)**: 0.494 states/eV/atom
**Uncorrected energy**: -21.6 eV/f.u.
**Formation energy from the elements**: 2.63 eV per atom

a = 3.988 Å, b = 3.988 Å, c = 3.988 Å
α = 90.00°, β = 90.00°, γ = 90.00°
Space group Pm-3m (No. 221)
Symmetry-distinct sites (fractional):
1 Zn 0.000 0.000 0.000 [1 per cell]
2 Sn 0.500 0.500 0.500 [1 per cell]
3 C 0.000 0.000 0.500 [3 per cell]